An optimized crystal structure of NdPuSi2, computed with PBE.

Cell: 4.7789 4.7789 5.4385 Å, 63.94 63.94 60.00°
Each line ends with the local moment (μB).
Element x y z (fractional)
Si (0.7409, 0.7409, 0.7774)  -0.04
Pu (0.0000, 0.0000, 0.0000)  5.13
Si (0.2591, 0.2591, 0.2226)  -0.04
Nd (0.5000, 0.5000, 0.5000)  0.04

Computed properties:
Crystal system: trigonal
Symmetry: R-3m, No. 166
Uncorrected formation energy, meV/atom: -294
Density of states at the Fermi level, states/eV per cell: 9.219
E above lowest polymorph, eV per atom: 0.270
DFT total energy, eV/atom: -7.781

An optimized crystal structure of Nd3PuSi4, computed with PBE.

Cell: 4.1657 6.3771 8.7913 Å, 111.26 103.70 90.00°
Each line ends with the local moment (μB).
Element x y z (fractional)
Si (0.3706, 0.1870, 0.7412)  -0.01
Nd (0.8082, 0.8081, 0.6163)  0.03
Nd (0.1918, 0.1919, 0.3837)  0.03
Nd (0.0000, 0.5000, 0.0000)  0.04
Si (0.3706, 0.5543, 0.7413)  -0.01
Si (0.6294, 0.4457, 0.2587)  -0.01
Si (0.6294, 0.8130, 0.2588)  -0.01
Pu (0.5000, 0.0000, 0.0000)  5.37

Computed properties:
Crystal system: orthorhombic
Symmetry: Immm, No. 71
Uncorrected formation energy, meV/atom: -434
Density of states at the Fermi level, states/eV per cell: 12.285
DFT total energy, eV/atom: -6.725

An optimized crystal structure of NdPuSi, computed with PBE.

Cell: 3.7887 3.7861 11.9448 Å, 90.22 90.00 120.02°
Element x y z (fractional)
Si (0.6687, 0.3374, 0.6932)
Nd (0.6633, 0.3265, 0.1382)
Pu (0.3337, 0.6674, 0.5417)
Pu (0.6663, 0.3326, 0.4583)
Nd (0.3367, 0.6735, 0.8618)
Si (0.3313, 0.6626, 0.3068)

Computed properties:
Crystal system: monoclinic
Symmetry: C2/m, No. 12
Uncorrected formation energy, meV/atom: -80
Density of states at the Fermi level, states/eV per cell: 9.155
E above lowest polymorph, eV per atom: 0.094
DFT total energy, eV/atom: -8.254

Q: Which value of DFT total energy does entry 3 give?
A: -8.254 eV/atom